Entry 1:
Material: Hf5In4Rh2
Method: DFT, meta-GGA SCAN
State: PBEsol geometry

Calculated values
space group	Pbam
crystal system	orthorhombic
formation enthalpy at 0 K	-0.611	eV per atom

a b c (Å): 7.500 17.224 3.317
angles (deg): 90.00 90.00 90.00
Fractional coordinates of all 22 atoms:
1 Hf 0.000 0.000 0.000
2 Hf 0.141 0.420 0.000
3 Hf 0.237 0.722 0.000
4 Hf 0.263 0.222 0.000
5 Hf 0.359 0.920 0.000
6 Hf 0.500 0.500 0.000
7 Hf 0.641 0.080 0.000
8 Hf 0.737 0.778 0.000
9 Hf 0.763 0.278 0.000
10 Hf 0.859 0.580 0.000
11 In 0.057 0.851 0.500
12 In 0.197 0.567 0.500
13 In 0.303 0.067 0.500
14 In 0.443 0.351 0.500
15 In 0.557 0.649 0.500
16 In 0.697 0.933 0.500
17 In 0.803 0.433 0.500
18 In 0.943 0.149 0.500
19 Rh 0.053 0.307 0.500
20 Rh 0.447 0.807 0.500
21 Rh 0.553 0.193 0.500
22 Rh 0.947 0.693 0.500

=====

Entry 2:
Material: PrAl2Ni3
Method: DFT, meta-GGA SCAN
State: PBEsol geometry

Calculated values
space group	P6/mmm
crystal system	hexagonal
formation enthalpy at 0 K	-0.591	eV per atom

a b c (Å): 5.272 5.272 3.770
angles (deg): 90.00 90.00 120.00
Fractional coordinates of all 6 atoms:
1 Pr 0.000 0.000 0.000
2 Al 0.333 0.667 0.000
3 Al 0.667 0.333 0.000
4 Ni 0.000 0.500 0.500
5 Ni 0.500 0.000 0.500
6 Ni 0.500 0.500 0.500

=====

Entry 3:
Material: AgAs4Pt
Method: DFT, meta-GGA SCAN
State: PBEsol geometry

Calculated values
space group	F-43m
crystal system	cubic
formation enthalpy at 0 K	0.630	eV per atom

a b c (Å): 5.393 5.393 5.393
angles (deg): 60.00 60.00 60.00
Fractional coordinates of all 6 atoms:
1 Ag 0.000 0.000 0.000
2 As 0.118 0.627 0.627
3 As 0.627 0.118 0.627
4 As 0.627 0.627 0.118
5 As 0.627 0.627 0.627
6 Pt 0.250 0.250 0.250

=====

Entry 4:
Material: ZrZnIn2
Method: DFT, meta-GGA SCAN
State: PBEsol geometry

Calculated values
space group	Pm
crystal system	monoclinic
formation enthalpy at 0 K	-0.216	eV per atom

a b c (Å): 3.112 4.573 5.756
angles (deg): 90.00 90.01 90.00
Fractional coordinates of all 4 atoms:
1 Zr 0.000 0.000 0.000
2 Zn 0.501 0.500 0.224
3 In 0.499 0.500 0.768
4 In 0.501 0.000 0.472

=====

Entry 5:
Material: Zr3ScI
Method: DFT, meta-GGA SCAN
State: PBEsol geometry

Calculated values
uncorrected formation energy	1175	meV/atom
space group	Pm-3m
crystal system	cubic
energy above the lowest structure with this stoichiometry	505	meV/atom

a b c (Å): 5.065 5.065 5.065
angles (deg): 90.00 90.00 90.00
Fractional coordinates of all 5 atoms:
1 Zr 0.000 0.000 0.500
2 Zr 0.000 0.500 0.000
3 Zr 0.500 0.000 0.000
4 Sc 0.000 0.000 0.000
5 I 0.500 0.500 0.500

=====

Entry 6:
Material: TeAs2Pt
Method: DFT, meta-GGA SCAN
State: PBEsol geometry

Calculated values
uncorrected formation energy	-19	meV/atom
space group	Imm2
crystal system	orthorhombic

a b c (Å): 6.220 6.220 6.220
angles (deg): 145.64 140.99 52.95
Fractional coordinates of all 4 atoms:
1 Te 0.000 0.000 0.000
2 As 0.309 0.809 0.500
3 As 0.659 0.659 0.000
4 Pt 0.821 0.321 0.500

=====

Entry 7:
Material: MgCoNi2
Method: DFT, meta-GGA SCAN
State: PBEsol geometry

Calculated values
space group	P4/mmm
crystal system	tetragonal
formation enthalpy at 0 K	-0.011	eV per atom

a b c (Å): 3.645 3.645 3.503
angles (deg): 90.00 90.00 90.00
Fractional coordinates of all 4 atoms:
1 Mg 0.000 0.000 0.000
2 Co 0.500 0.500 0.000
3 Ni 0.000 0.500 0.500
4 Ni 0.500 0.000 0.500

=====

Entry 8:
Material: ScBiTe3
Method: DFT, meta-GGA SCAN
State: PBEsol geometry

Calculated values
uncorrected formation energy	-128	meV/atom
space group	Pm-3m
crystal system	cubic

a b c (Å): 5.434 5.434 5.434
angles (deg): 90.00 90.00 90.00
Fractional coordinates of all 5 atoms:
1 Sc 0.000 0.000 0.000
2 Bi 0.500 0.500 0.500
3 Te 0.000 0.000 0.500
4 Te 0.000 0.500 0.000
5 Te 0.500 0.000 0.000